The following is a DFT calculation (PBE) of crystalline Cu5AsCl12 at its relaxed geometry.

Unit cell a=6.331 b=6.331 c=12.978 alpha=96.78 beta=96.78 gamma=105.72
Fractional coordinates of all 18 atoms:
Cu  0.000  0.000  0.000
Cu  0.169  0.831  0.500
Cu  0.333  0.667  0.000
Cu  0.667  0.333  0.000
Cu  0.831  0.169  0.500
As  0.500  0.500  0.500
Cl  0.031  0.698  0.894
Cl  0.155  0.155  0.432
Cl  0.289  0.647  0.626
Cl  0.302  0.969  0.106
Cl  0.353  0.711  0.374
Cl  0.365  0.365  0.894
Cl  0.635  0.635  0.106
Cl  0.647  0.289  0.626
Cl  0.698  0.031  0.894
Cl  0.711  0.353  0.374
Cl  0.845  0.845  0.568
Cl  0.969  0.302  0.106

Summary:
VASP energy   -3.137 eV per atom
Fermi-level density of states   6.772 states/eV/cell